The following is a DFT calculation (PBE-GGA) of a geometry-optimized Rb3Hg5I12 structure.

Calculated values
D(E_F): 0.1506 states/eV per atom
symmetry: Ia-3d (230)
magnetic moment: 0.0 μB/cell
formation energy without anion corrections: -0.6175 eV/atom

Cell lengths 16.909, 16.909, 16.909 Å; angles 109.47, 109.47, 109.47 degrees
Sites, in units of the cell vectors:
Hg 0.625 0.750 0.875
Hg 0.000 0.000 0.000
Hg 0.000 0.000 0.500
Hg 0.750 0.125 0.875
Hg 0.375 0.125 0.750
Hg 0.125 0.750 0.375
Hg 0.500 0.500 0.500
Hg 0.875 0.250 0.625
Hg 0.250 0.875 0.125
Hg 0.750 0.625 0.375
Hg 0.500 0.000 0.500
Hg 0.500 0.000 0.000
Hg 0.500 0.500 0.000
Hg 0.125 0.375 0.250
Hg 0.000 0.500 0.500
Hg 0.375 0.250 0.125
Hg 0.625 0.875 0.250
Hg 0.875 0.625 0.750
Hg 0.000 0.500 0.000
Hg 0.250 0.375 0.625
I 0.385 0.406 0.085
I 0.885 0.585 0.906
I 0.200 0.680 0.085
I 0.415 0.115 0.594
I 0.320 0.521 0.406
I 0.085 0.906 0.385
I 0.906 0.085 0.885
I 0.915 0.820 0.800
I 0.200 0.521 0.615
I 0.300 0.885 0.979
I 0.479 0.800 0.885
I 0.615 0.594 0.915
I 0.021 0.406 0.820
I 0.115 0.415 0.094
I 0.180 0.094 0.979
I 0.406 0.021 0.320
I 0.979 0.385 0.300
I 0.521 0.200 0.115
I 0.820 0.906 0.021
I 0.479 0.680 0.094
I 0.585 0.885 0.406
I 0.680 0.200 0.585
I 0.700 0.115 0.021
I 0.800 0.320 0.915
I 0.800 0.479 0.385
I 0.180 0.085 0.700
I 0.615 0.021 0.200
I 0.585 0.700 0.680
I 0.594 0.979 0.680
I 0.680 0.479 0.594
I 0.320 0.800 0.415
I 0.521 0.320 0.906
I 0.094 0.915 0.115
I 0.979 0.594 0.180
I 0.085 0.180 0.200
I 0.820 0.915 0.300
I 0.415 0.300 0.320
I 0.700 0.585 0.180
I 0.021 0.615 0.700
I 0.906 0.820 0.521
I 0.115 0.700 0.521
I 0.915 0.094 0.615
I 0.094 0.180 0.479
I 0.300 0.415 0.820
I 0.385 0.979 0.800
I 0.885 0.300 0.479
I 0.406 0.385 0.585
I 0.594 0.615 0.415
Rb 0.375 0.625 0.250
Rb 0.125 0.250 0.875
Rb 0.750 0.875 0.625
Rb 0.250 0.125 0.375
Rb 0.875 0.125 0.250
Rb 0.875 0.750 0.125
Rb 0.375 0.750 0.625
Rb 0.750 0.375 0.125
Rb 0.625 0.250 0.375
Rb 0.125 0.875 0.750
Rb 0.250 0.625 0.875
Rb 0.625 0.375 0.750